Here is Sm3ErPb4 after structural relaxation from the Alexandria database. Energies are from GGA-PBE.

abc: 6.489 6.491 11.217
angles: 90.00 90.00 90.00
Sites, in units of the cell vectors:
Pb (0.249, 0.561, 0.250)
Pb (0.249, 0.561, 0.750)
Pb (0.751, 0.061, 0.750)
Pb (0.999, 0.811, 0.000)
Pb (0.500, 0.810, 0.500)
Pb (0.500, 0.310, 0.000)
Pb (0.001, 0.311, 0.500)
Pb (0.751, 0.061, 0.250)
Sm (0.000, 0.811, 0.500)
Sm (0.251, 0.061, 0.750)
Sm (0.251, 0.061, 0.250)
Sm (0.749, 0.561, 0.750)
Sm (0.000, 0.311, 0.000)
Sm (0.749, 0.561, 0.250)
Er (0.501, 0.310, 0.500)
Er (0.499, 0.810, 0.000)

Space group = Pmn2_1
Calculated density = 10.173 g/cm3
Crystal system = orthorhombic
Volume = 472.4 Å³ per cell
Formation energy from the elements = -0.464 eV/atom

Here is SmEr4Pb2 after structural relaxation from the Alexandria database. Energies are from GGA-PBE.

abc: 5.372 5.372 9.035
angles: 107.29 107.29 90.00
Sites, in units of the cell vectors:
Er (0.182, 0.182, 0.365)
Er (0.818, 0.818, 0.635)
Er (0.500, 0.000, 0.000)
Er (0.000, 0.500, 0.000)
Pb (0.370, 0.370, 0.740)
Pb (0.630, 0.630, 0.260)
Sm (0.000, 0.000, 0.000)

Space group = I4/mmm
Calculated density = 8.661 g/cm3
Crystal system = tetragonal
Volume = 236.6 Å³ per cell
Formation energy from the elements = 0.504 eV/atom